KScFe2Br GGA-PBE optimized geometry; VASP energy = -20.8 eV/cell; total magnetization = 3.51 μB/cell
1.0
4.691 0.000 0.000
0.000 5.508 0.000
0.000 0.000 4.691
Fe Br K Sc
2 1 1 1
direct
0.000 0.000 0.500
0.500 0.000 0.000
0.000 0.000 0.000
0.000 0.500 0.000
0.500 0.500 0.500

SbAs2PtSe GGA-PBE optimized geometry; VASP energy = -20.7 eV/cell; total magnetization = 0.00 μB/cell; E above lowest polymorph = 0 meV/atom
1.0
4.865 0.000 0.000
0.000 4.865 0.000
0.000 0.000 5.142
As Se Pt Sb
2 1 1 1
direct
0.000 0.500 0.000
0.500 0.000 0.000
0.000 0.000 0.500
0.000 0.000 0.000
0.500 0.500 0.500

Number 1: E_form (uncorrected) 1.054 eV per atom. Number 2: E_form (uncorrected) 0.454 eV per atom.